# 1
DFT (PBE) results for Ta6Re7 after structural relaxation.

Cell and atoms, written as POSCAR:
```
Ta6Re7
1.0
2.588 1.494 9.388
-2.588 1.494 9.388
0.000 -2.988 9.388
Re Ta
7 6
direct
0.000 0.000 0.000 Re
0.908 0.414 0.908 Re
0.586 0.092 0.092 Re
0.092 0.092 0.586 Re
0.092 0.586 0.092 Re
0.908 0.908 0.414 Re
0.414 0.908 0.908 Re
0.452 0.452 0.452 Ta
0.548 0.548 0.548 Ta
0.167 0.167 0.167 Ta
0.652 0.652 0.652 Ta
0.833 0.833 0.833 Ta
0.348 0.348 0.348 Ta
```

Summary:
The value obtained for the energy above the most stable polymorph in this dataset is 0 meV per atom. Its space group is R-3m (166).

=====

# 2
DFT (PBE) results for Ta6Re7 after structural relaxation.

Cell and atoms, written as POSCAR:
```
Ta6Re7
1.0
2.629 1.518 9.136
-2.629 1.518 9.136
0.000 -3.035 9.136
Re Ta
7 6
direct
0.457 0.457 0.457 Re
0.543 0.543 0.543 Re
0.347 0.347 0.347 Re
0.167 0.167 0.167 Re
0.653 0.653 0.653 Re
0.000 0.000 0.000 Re
0.833 0.833 0.833 Re
0.090 0.586 0.090 Ta
0.910 0.910 0.414 Ta
0.414 0.910 0.910 Ta
0.910 0.414 0.910 Ta
0.090 0.090 0.586 Ta
0.586 0.090 0.090 Ta
```

Summary:
The value obtained for the energy above the most stable polymorph in this dataset is 573 meV per atom. Its space group is R-3m (166).

=====

# 3
DFT (PBE) results for Ta3Re after structural relaxation.

Cell and atoms, written as POSCAR:
```
Ta3Re
1.0
-1.930 1.930 4.713
1.930 -1.930 4.713
1.930 1.930 -4.713
Ta Re
3 1
direct
0.250 0.750 0.500 Ta
0.500 0.500 0.000 Ta
0.750 0.250 0.500 Ta
0.000 0.000 0.000 Re
```

Summary:
Its space group is I4/mmm (139). For the total energy, the calculation gives -11.936 eV/atom.

=====

# 4
DFT (PBE) results for Ta2Re11 after structural relaxation.

Cell and atoms, written as POSCAR:
```
Ta2Re11
1.0
5.568 -4.547 6.258
7.527 -5.607 1.655
8.605 -1.157 3.929
Re Ta
11 2
direct
0.419 0.912 0.912 Re
0.912 0.419 0.912 Re
0.453 0.453 0.453 Re
0.164 0.164 0.164 Re
0.088 0.581 0.088 Re
0.088 0.088 0.581 Re
0.912 0.912 0.419 Re
0.836 0.836 0.836 Re
0.581 0.088 0.088 Re
0.547 0.547 0.547 Re
0.000 0.000 0.000 Re
0.348 0.348 0.348 Ta
0.652 0.652 0.652 Ta
```

Summary:
The value obtained for the energy above the most stable polymorph in this dataset is 0 meV per atom. Its space group is R-3m (166).

=====

# 5
DFT (PBE) results for Ta2Re after structural relaxation.

Cell and atoms, written as POSCAR:
```
Ta2Re
1.0
-0.261 4.099 -3.358
-0.534 -4.956 -1.817
-8.589 0.470 1.242
Ta Re
8 4
direct
0.830 0.170 0.250 Ta
0.341 0.170 0.250 Ta
0.659 0.830 0.750 Ta
0.170 0.341 0.750 Ta
0.170 0.830 0.750 Ta
0.000 0.000 0.500 Ta
0.000 0.000 0.000 Ta
0.830 0.659 0.250 Ta
0.333 0.667 0.039 Re
0.667 0.333 0.539 Re
0.333 0.667 0.461 Re
0.667 0.333 0.961 Re
```

Summary:
Its space group is P6_3/mmc (194). For the total energy, the calculation gives -11.519 eV/atom.

=====

# 6
DFT (PBE) results for Ta14Re after structural relaxation.

Cell and atoms, written as POSCAR:
```
Ta14Re
1.0
-10.026 0.318 1.566
-1.279 -7.558 -6.657
0.504 -3.564 3.950
Ta Re
28 2
direct
0.603 0.603 0.000 Ta
0.629 0.035 0.500 Ta
0.181 0.181 0.252 Ta
0.243 0.434 0.500 Ta
0.965 0.371 0.500 Ta
0.871 0.535 0.000 Ta
0.757 0.566 0.500 Ta
0.897 0.103 0.500 Ta
0.819 0.819 0.252 Ta
0.103 0.897 0.500 Ta
0.066 0.743 0.000 Ta
0.319 0.681 0.248 Ta
0.934 0.257 0.000 Ta
0.129 0.465 0.000 Ta
0.743 0.066 0.000 Ta
0.434 0.243 0.500 Ta
0.035 0.629 0.500 Ta
0.566 0.757 0.500 Ta
0.371 0.965 0.500 Ta
0.681 0.319 0.248 Ta
0.535 0.871 0.000 Ta
0.819 0.819 0.748 Ta
0.319 0.681 0.752 Ta
0.465 0.129 0.000 Ta
0.397 0.397 0.000 Ta
0.181 0.181 0.748 Ta
0.681 0.319 0.752 Ta
0.257 0.934 0.000 Ta
0.000 0.000 0.000 Re
0.500 0.500 0.500 Re
```

Summary:
Its space group is P4_2/mnm (136). For the total energy, the calculation gives -11.946 eV/atom.